[1]
Here is an optimized crystal structure of PuCo4Os from the Alexandria database. Energies are from PBE.

Properties
The crystal system is cubic. As for the formation energy: 42 meV per atom.

Lattice parameters (Å, degrees): 4.854 4.854 4.854 60.00 60.00 60.00
Atoms (fractional coordinates):
Pu: 0.000 0.000 0.000
Co: 0.128 0.624 0.624
Co: 0.624 0.128 0.624
Co: 0.624 0.624 0.128
Co: 0.624 0.624 0.624
Os: 0.250 0.250 0.250

---

[2]
Here is an optimized crystal structure of PuCoOs2 from the Alexandria database. Energies are from PBE.

Properties
The crystal system is tetragonal. As for the formation energy: 160 meV per atom.

Lattice parameters (Å, degrees): 3.980 3.980 3.880 90.00 90.00 90.00
Atoms (fractional coordinates):
Pu: 0.000 0.000 0.000
Co: 0.500 0.500 0.000
Os: 0.000 0.500 0.500
Os: 0.500 0.000 0.500

---

[3]
Here is an optimized crystal structure of PuCo2Os from the Alexandria database. Energies are from PBE.

Properties
The crystal system is cubic. As for the formation energy: 202 meV per atom. As for the energy above the most stable polymorph in this dataset: 116 meV/atom.

Lattice parameters (Å, degrees): 4.395 4.395 4.395 60.00 60.00 60.00
Atoms (fractional coordinates):
Pu: 0.000 0.000 0.000
Co: 0.250 0.250 0.250
Co: 0.750 0.750 0.750
Os: 0.500 0.500 0.500

---

[4]
Here is an optimized crystal structure of PuCo2Os from the Alexandria database. Energies are from PBE.

Properties
The crystal system is tetragonal. As for the formation energy: 86 meV per atom. As for the energy above the most stable polymorph in this dataset: 0 meV/atom.

Lattice parameters (Å, degrees): 3.888 3.888 3.875 90.00 90.00 90.00
Atoms (fractional coordinates):
Pu: 0.000 0.000 0.000
Co: 0.000 0.500 0.500
Co: 0.500 0.000 0.500
Os: 0.500 0.500 0.000

---

[5]
Here is an optimized crystal structure of PuScCoOs from the Alexandria database. Energies are from PBE.

Properties
The crystal system is cubic. As for the formation energy: -195 meV per atom.

Lattice parameters (Å, degrees): 4.624 4.624 4.624 60.00 60.00 60.00
Atoms (fractional coordinates):
Pu: 0.000 0.000 0.000
Sc: 0.500 0.500 0.500
Co: 0.750 0.750 0.750
Os: 0.250 0.250 0.250

---

[6]
Here is an optimized crystal structure of PuCoSi3Os from the Alexandria database. Energies are from PBE.

Properties
The crystal system is orthorhombic. The value obtained for the uncorrected formation energy is -0.259 eV/atom.

Lattice parameters (Å, degrees): 6.541 6.541 5.421 90.00 90.00 112.44
Atoms (fractional coordinates):
Pu: 0.248 0.752 0.750
Pu: 0.752 0.248 0.250
Co: 0.044 0.956 0.250
Co: 0.956 0.044 0.750
Si: 0.235 0.765 0.250
Si: 0.240 0.240 0.000
Si: 0.240 0.240 0.500
Si: 0.760 0.760 0.000
Si: 0.760 0.760 0.500
Si: 0.765 0.235 0.750
Os: 0.440 0.560 0.250
Os: 0.560 0.440 0.750

---

[7]
Here is an optimized crystal structure of PuCoSi2Os from the Alexandria database. Energies are from PBE.

Properties
The crystal system is tetragonal. The value obtained for the uncorrected formation energy is -0.588 eV/atom.

Lattice parameters (Å, degrees): 5.725 5.725 5.725 139.05 139.05 59.29
Atoms (fractional coordinates):
Pu: 0.000 0.000 0.000
Co: 0.750 0.250 0.500
Si: 0.374 0.374 0.000
Si: 0.626 0.626 0.000
Os: 0.250 0.750 0.500

---

[8]
Here is an optimized crystal structure of SmPuCoOs from the Alexandria database. Energies are from PBE.

Properties
The crystal system is cubic. As for the formation energy: 30 meV per atom.

Lattice parameters (Å, degrees): 4.824 4.824 4.824 60.00 60.00 60.00
Atoms (fractional coordinates):
Sm: 0.000 0.000 0.000
Pu: 0.500 0.500 0.500
Co: 0.750 0.750 0.750
Os: 0.250 0.250 0.250

---

[9]
Here is an optimized crystal structure of TbPuCoOs from the Alexandria database. Energies are from PBE.

Properties
The crystal system is cubic. As for the formation energy: -52 meV per atom.

Lattice parameters (Å, degrees): 4.780 4.780 4.780 60.00 60.00 60.00
Atoms (fractional coordinates):
Tb: 0.000 0.000 0.000
Pu: 0.500 0.500 0.500
Co: 0.750 0.750 0.750
Os: 0.250 0.250 0.250

---

[10]
Here is an optimized crystal structure of PuThCoOs from the Alexandria database. Energies are from PBE.

Properties
The crystal system is cubic. As for the formation energy: -48 meV per atom.

Lattice parameters (Å, degrees): 4.878 4.878 4.878 60.00 60.00 60.00
Atoms (fractional coordinates):
Pu: 0.000 0.000 0.000
Th: 0.500 0.500 0.500
Co: 0.750 0.750 0.750
Os: 0.250 0.250 0.250

---

[11]
Here is an optimized crystal structure of TmPuCoOs from the Alexandria database. Energies are from PBE.

Properties
The crystal system is cubic. As for the formation energy: -126 meV per atom.

Lattice parameters (Å, degrees): 4.735 4.735 4.735 60.00 60.00 60.00
Atoms (fractional coordinates):
Tm: 0.000 0.000 0.000
Pu: 0.500 0.500 0.500
Co: 0.750 0.750 0.750
Os: 0.250 0.250 0.250

---

[12]
Here is an optimized crystal structure of PuVCoOs from the Alexandria database. Energies are from PBE.

Properties
The crystal system is cubic. As for the formation energy: 143 meV per atom.

Lattice parameters (Å, degrees): 4.470 4.470 4.470 60.00 60.00 60.00
Atoms (fractional coordinates):
Pu: 0.000 0.000 0.000
V: 0.500 0.500 0.500
Co: 0.750 0.750 0.750
Os: 0.250 0.250 0.250

---

no.,total magnetic moment (μB per atom)
1,0.335
2,0.450
3,0.223
4,0.185
5,0.894
6,0.935
7,1.052
8,0.881
9,0.879
10,1.098
11,0.879
12,0.630